Record 1
BiAuS3: optimized geometry, PBE.

Its total magnetization is 0.0 μB per formula unit. Its crystal system is cubic. As for the energy relative to the lowest polymorph listed for this composition: 656 meV/atom.

Lattice parameters (Å, degrees): 5.194 5.194 5.194 90.00 90.00 90.00
Element x y z (fractional)
Bi1 0.000 0.000 0.000
Au1 0.500 0.500 0.500
S1 0.000 0.000 0.500
S2 0.000 0.500 0.000
S3 0.500 0.000 0.000


Record 2
Bi4Au2S5: optimized geometry, PBE.

Its total magnetization is 0.0 μB per formula unit. The calculated total energy comes out at -43.2 eV/cell. Its crystal system is monoclinic.

Lattice parameters (Å, degrees): 11.051 11.051 7.415 109.41 109.41 20.13
Element x y z (fractional)
Bi1 0.036 0.036 0.281
Bi2 0.330 0.330 0.787
Bi3 0.670 0.670 0.213
Bi4 0.964 0.964 0.719
Au1 0.211 0.211 0.861
Au2 0.789 0.789 0.139
S1 0.107 0.107 0.948
S2 0.165 0.165 0.496
S3 0.500 0.500 0.500
S4 0.835 0.835 0.504
S5 0.893 0.893 0.052


Record 3
Bi2Au2S: optimized geometry, PBE.

Its total magnetization is 0.0 μB per formula unit. Its crystal system is tetragonal. As for the energy relative to the lowest polymorph listed for this composition: 122 meV/atom.

Lattice parameters (Å, degrees): 7.619 7.619 4.100 90.00 90.00 90.00
Element x y z (fractional)
Bi1 0.168 0.332 0.000
Bi2 0.332 0.832 0.000
Bi3 0.668 0.168 0.000
Bi4 0.832 0.668 0.000
Au1 0.133 0.633 0.500
Au2 0.367 0.133 0.500
Au3 0.633 0.867 0.500
Au4 0.867 0.367 0.500
S1 0.000 0.000 0.500
S2 0.500 0.500 0.500


Record 4
BiAuS: optimized geometry, PBE.

Its total magnetization is 0.0 μB per formula unit. The calculated total energy comes out at -68.0 eV/cell. Its crystal system is trigonal.

Lattice parameters (Å, degrees): 9.763 9.763 9.763 115.02 115.02 115.02
Element x y z (fractional)
Bi1 0.215 0.291 0.673
Bi2 0.291 0.673 0.215
Bi3 0.327 0.785 0.709
Bi4 0.673 0.215 0.291
Bi5 0.709 0.327 0.785
Bi6 0.785 0.709 0.327
Au1 0.052 0.545 0.811
Au2 0.189 0.948 0.455
Au3 0.455 0.189 0.948
Au4 0.545 0.811 0.052
Au5 0.811 0.052 0.545
Au6 0.948 0.455 0.189
S1 0.010 0.699 0.668
S2 0.301 0.332 0.990
S3 0.332 0.990 0.301
S4 0.668 0.010 0.699
S5 0.699 0.668 0.010
S6 0.990 0.301 0.332


Record 5
BiAuSeS: optimized geometry, PBE.

Its total magnetization is 0.0 μB per formula unit. The calculated total energy comes out at -15.6 eV/cell. Its crystal system is trigonal.

Lattice parameters (Å, degrees): 8.017 8.017 8.017 31.65 31.65 31.65
Element x y z (fractional)
Bi1 0.000 0.000 0.000
Au1 0.493 0.493 0.493
Se1 0.599 0.599 0.599
S1 0.392 0.392 0.392


Record 6
BiWAu2S: optimized geometry, PBE.

Its total magnetization is 3.0 μB per formula unit. The calculated total energy comes out at -18.6 eV/cell. Its crystal system is tetragonal.

Lattice parameters (Å, degrees): 5.237 5.237 5.542 90.00 90.00 90.00
Element x y z (fractional)
Bi1 0.000 0.000 0.000
W1 0.000 0.000 0.500
Au1 0.000 0.500 0.000
Au2 0.500 0.000 0.000
S1 0.500 0.500 0.500


Record 7
BiSb2Au2: optimized geometry, PBE.

Its total magnetization is 0.0 μB per formula unit. Its crystal system is tetragonal. As for the energy relative to the lowest polymorph listed for this composition: 104 meV/atom.

Lattice parameters (Å, degrees): 8.001 8.001 3.805 90.00 90.00 90.00
Element x y z (fractional)
Bi1 0.000 0.000 0.000
Bi2 0.500 0.500 0.000
Sb1 0.170 0.330 0.500
Sb2 0.330 0.830 0.500
Sb3 0.670 0.170 0.500
Sb4 0.830 0.670 0.500
Au1 0.129 0.629 0.000
Au2 0.371 0.129 0.000
Au3 0.629 0.871 0.000
Au4 0.871 0.371 0.000


Record 8
Bi2SbAu2: optimized geometry, PBE.

Its total magnetization is 0.0 μB per formula unit. Its crystal system is tetragonal. As for the energy relative to the lowest polymorph listed for this composition: 88 meV/atom.

Lattice parameters (Å, degrees): 8.867 8.867 8.867 154.18 154.18 36.84
Element x y z (fractional)
Bi1 0.108 0.108 0.000
Bi2 0.892 0.892 0.000
Sb1 0.500 0.500 0.000
Au1 0.250 0.750 0.500
Au2 0.750 0.250 0.500


Record 9
BiSbAu4: optimized geometry, PBE.

Its total magnetization is 0.0 μB per formula unit. Its crystal system is orthorhombic. As for the energy relative to the lowest polymorph listed for this composition: 13 meV/atom.

Lattice parameters (Å, degrees): 6.700 4.683 4.683 105.17 90.00 90.00
Element x y z (fractional)
Bi1 0.000 0.000 0.000
Sb1 0.500 0.329 0.329
Au1 0.266 0.470 0.861
Au2 0.266 0.861 0.470
Au3 0.734 0.470 0.861
Au4 0.734 0.861 0.470


Record 10
Bi2SbAu2: optimized geometry, PBE.

Its total magnetization is 0.0 μB per formula unit. Its crystal system is monoclinic. As for the energy relative to the lowest polymorph listed for this composition: 0 meV/atom.

Lattice parameters (Å, degrees): 4.170 4.170 9.173 102.92 102.92 60.37
Element x y z (fractional)
Bi1 0.210 0.210 0.133
Bi2 0.790 0.790 0.867
Sb1 0.000 0.000 0.500
Au1 0.393 0.393 0.678
Au2 0.607 0.607 0.322


Record 11
Bi2SbAu2: optimized geometry, PBE.

Its total magnetization is 0.0 μB per formula unit. Its crystal system is tetragonal. As for the energy relative to the lowest polymorph listed for this composition: 53 meV/atom.

Lattice parameters (Å, degrees): 7.735 7.735 4.269 90.00 90.00 90.00
Element x y z (fractional)
Bi1 0.172 0.328 0.000
Bi2 0.328 0.828 0.000
Bi3 0.672 0.172 0.000
Bi4 0.828 0.672 0.000
Sb1 0.000 0.000 0.500
Sb2 0.500 0.500 0.500
Au1 0.131 0.631 0.500
Au2 0.369 0.131 0.500
Au3 0.631 0.869 0.500
Au4 0.869 0.369 0.500


Record 12
BiSbAu2: optimized geometry, PBE.

Its total magnetization is 0.0 μB per formula unit. The calculated total energy comes out at -14.2 eV/cell. Its crystal system is tetragonal.

Lattice parameters (Å, degrees): 3.774 3.774 6.561 90.00 90.00 90.00
Element x y z (fractional)
Bi1 0.000 0.000 0.000
Sb1 0.000 0.000 0.500
Au1 0.500 0.500 0.266
Au2 0.500 0.500 0.734


Record 13
BiSbAu4: optimized geometry, PBE.

Its total magnetization is 0.0 μB per formula unit. Its crystal system is cubic. As for the energy relative to the lowest polymorph listed for this composition: 0 meV/atom.

Lattice parameters (Å, degrees): 5.691 5.691 5.691 60.00 60.00 60.00
Element x y z (fractional)
Bi1 0.000 0.000 0.000
Sb1 0.250 0.250 0.250
Au1 0.125 0.625 0.625
Au2 0.625 0.125 0.625
Au3 0.625 0.625 0.125
Au4 0.625 0.625 0.625


Record 14
BiSb3Au: optimized geometry, PBE.

Its total magnetization is 0.0 μB per formula unit. Its crystal system is cubic. As for the energy relative to the lowest polymorph listed for this composition: 0 meV/atom.

Lattice parameters (Å, degrees): 5.405 5.405 5.405 90.00 90.00 90.00
Element x y z (fractional)
Bi1 0.000 0.000 0.000
Sb1 0.000 0.500 0.500
Sb2 0.500 0.000 0.500
Sb3 0.500 0.500 0.000
Au1 0.500 0.500 0.500


Record 15
BiSbAu2: optimized geometry, PBE.

Its total magnetization is 0.0 μB per formula unit. The calculated total energy comes out at -14.5 eV/cell. Its crystal system is trigonal.

Lattice parameters (Å, degrees): 6.655 6.655 6.655 38.52 38.52 38.52
Element x y z (fractional)
Bi1 0.000 0.000 0.000
Sb1 0.173 0.173 0.173
Au1 0.580 0.580 0.580
Au2 0.757 0.757 0.757


Record 16
Bi2SbAu3: optimized geometry, PBE.

Its total magnetization is 0.0 μB per formula unit. The calculated total energy comes out at -44.2 eV/cell. Its crystal system is orthorhombic.

Lattice parameters (Å, degrees): 7.957 7.957 5.654 90.00 90.00 59.32
Element x y z (fractional)
Bi1 0.013 0.331 0.250
Bi2 0.331 0.013 0.750
Bi3 0.669 0.987 0.250
Bi4 0.987 0.669 0.750
Sb1 0.326 0.674 0.250
Sb2 0.674 0.326 0.750
Au1 0.000 0.000 0.000
Au2 0.000 0.000 0.500
Au3 0.346 0.346 0.000
Au4 0.346 0.346 0.500
Au5 0.654 0.654 0.000
Au6 0.654 0.654 0.500


Record 17
BiSb2Au2: optimized geometry, PBE.

Its total magnetization is 0.0 μB per formula unit. Its crystal system is tetragonal. As for the energy relative to the lowest polymorph listed for this composition: 148 meV/atom.

Lattice parameters (Å, degrees): 8.728 8.728 3.316 90.00 90.00 90.00
Element x y z (fractional)
Bi1 0.000 0.000 0.000
Bi2 0.500 0.500 0.000
Sb1 0.192 0.308 0.000
Sb2 0.308 0.808 0.000
Sb3 0.692 0.192 0.000
Sb4 0.808 0.692 0.000
Au1 0.114 0.614 0.500
Au2 0.386 0.114 0.500
Au3 0.614 0.886 0.500
Au4 0.886 0.386 0.500


Record 18
Bi3SbAu4: optimized geometry, PBE.

Its total magnetization is 0.0 μB per formula unit. Its crystal system is orthorhombic. As for the energy relative to the lowest polymorph listed for this composition: 53 meV/atom.

Lattice parameters (Å, degrees): 6.981 6.981 6.981 127.53 75.71 129.62
Element x y z (fractional)
Bi1 0.000 0.000 0.000
Bi2 0.127 0.846 0.281
Bi3 0.565 0.846 0.719
Sb1 0.830 0.330 0.500
Au1 0.123 0.356 0.767
Au2 0.444 0.212 0.768
Au3 0.444 0.676 0.232
Au4 0.590 0.356 0.233


Record 19
BiSb2Au3: optimized geometry, PBE.

Its total magnetization is 0.0 μB per formula unit. The calculated total energy comes out at -42.9 eV/cell. Its crystal system is orthorhombic.

Lattice parameters (Å, degrees): 6.899 6.899 6.156 90.00 90.00 99.21
Element x y z (fractional)
Bi1 0.250 0.750 0.750
Bi2 0.750 0.250 0.250
Sb1 0.225 0.225 0.000
Sb2 0.225 0.225 0.500
Sb3 0.775 0.775 0.000
Sb4 0.775 0.775 0.500
Au1 0.073 0.611 0.250
Au2 0.389 0.927 0.250
Au3 0.468 0.532 0.250
Au4 0.532 0.468 0.750
Au5 0.611 0.073 0.750
Au6 0.927 0.389 0.750


Record 20
BiSb2Au2: optimized geometry, PBE.

Its total magnetization is 0.0 μB per formula unit. Its crystal system is monoclinic. As for the energy relative to the lowest polymorph listed for this composition: 53 meV/atom.

Lattice parameters (Å, degrees): 9.443 8.379 6.938 90.00 105.09 90.00
Element x y z (fractional)
Bi1 0.145 0.153 0.035
Bi2 0.145 0.347 0.535
Bi3 0.855 0.653 0.465
Bi4 0.855 0.847 0.965
Sb1 0.205 0.596 0.890
Sb2 0.205 0.904 0.390
Sb3 0.481 0.705 0.408
Sb4 0.481 0.795 0.908
Sb5 0.519 0.205 0.092
Sb6 0.519 0.295 0.592
Sb7 0.795 0.096 0.610
Sb8 0.795 0.404 0.110
Au1 0.074 0.609 0.220
Au2 0.074 0.891 0.720
Au3 0.347 0.077 0.733
Au4 0.347 0.423 0.233
Au5 0.653 0.577 0.767
Au6 0.653 0.923 0.267
Au7 0.926 0.109 0.280
Au8 0.926 0.391 0.780